This record from the Alexandria database describes crystalline LaTb2Tm at its relaxed geometry. The functional is GGA-PBE.

POSCAR file:
```
LaTb2Tm
1.0
3.594 0.000 0.000
0.000 3.594 0.000
0.000 0.000 10.157
La Tb Tm
1 2 1
Direct
0.000 0.000 0.000
0.500 0.500 0.259
0.500 0.500 0.741
0.000 0.000 0.500
```

Summary:
* size of the total moment: 0.000 μB per formula unit
* uncorrected energy: -18.53 eV/f.u.
* N(E_F): 6.2 states/eV/f.u.
* SG: No. 123
* formation enthalpy at 0 K: 0.032 eV/atom


This record from the Alexandria database describes crystalline Ac3Pr4YTe8 at its relaxed geometry. The functional is GGA-PBE.

POSCAR file:
```
Ac3Pr4YTe8
1.0
7.933 -4.607 0.000
7.933 4.607 0.000
-5.258 0.000 7.499
Ac Pr Y Te
3 4 1 8
Direct
0.000 0.000 0.000
0.000 0.500 0.500
0.500 0.000 0.500
0.000 0.000 0.500
0.000 0.500 0.000
0.500 0.000 0.000
0.500 0.500 0.500
0.500 0.500 0.000
0.254 0.254 0.246
0.255 0.255 0.763
0.255 0.737 0.245
0.263 0.745 0.755
0.737 0.255 0.245
0.745 0.263 0.755
0.745 0.745 0.237
0.746 0.746 0.754
```

Summary:
* size of the total moment: 0.000 μB per formula unit
* uncorrected energy: -85.88 eV/f.u.
* formation energy from raw total energies: -1.427 eV/atom
* N(E_F): 12.0 states/eV/f.u.
* SG: No. 12


This record from the Alexandria database describes crystalline BaCaIr2 at its relaxed geometry. The functional is GGA-PBE.

POSCAR file:
```
BaCaIr2
1.0
4.672 0.000 0.000
0.000 4.672 0.000
0.000 0.000 8.375
Ba Ca Ir
2 2 4
Direct
0.000 0.000 0.000
0.500 0.500 0.500
0.000 0.000 0.500
0.500 0.500 0.000
0.000 0.500 0.250
0.000 0.500 0.750
0.500 0.000 0.250
0.500 0.000 0.750
```

Summary:
* size of the total moment: 0.000 μB per formula unit
* uncorrected energy: -20.54 eV/f.u.
* N(E_F): 2.9 states/eV/f.u.
* SG: No. 139
* formation enthalpy at 0 K: 0.277 eV/atom